Here is an optimized crystal structure of YMgSeBr2 from Alexandria via LeMat-Bulk. Energies are from PBE.

Magnetic moment = 0.7 μB/f.u.
Polymorph energy (0 for the lowest one) = 0.000 eV/atom
D(E_F) = 2.0 states/eV/f.u.
Energy = -4.02 eV/atom

Lattice parameters (Å, degrees): 5.569 5.569 5.537 90.00 90.00 90.00
Atoms (fractional coordinates):
Y 0.000 0.000 0.000
Mg 0.500 0.500 0.500
Se 0.000 0.000 0.500
Br 0.000 0.500 0.000
Br 0.500 0.000 0.000

Here is an optimized crystal structure of MgZnSeBr2 from Alexandria via LeMat-Bulk. Energies are from PBE.

Magnetic moment = 0.0 μB/f.u.
Polymorph energy (0 for the lowest one) = 0.009 eV/atom
D(E_F) = 1.7 states/eV/f.u.
Energy = -2.25 eV/atom

Lattice parameters (Å, degrees): 5.004 5.004 5.297 90.00 90.00 90.00
Atoms (fractional coordinates):
Mg 0.000 0.000 0.000
Zn 0.500 0.500 0.500
Se 0.500 0.500 0.000
Br 0.000 0.500 0.500
Br 0.500 0.000 0.500

Here is an optimized crystal structure of MgZnSeBr2 from Alexandria via LeMat-Bulk. Energies are from PBE.

Magnetic moment = 0.0 μB/f.u.
Polymorph energy (0 for the lowest one) = 0.000 eV/atom
D(E_F) = 3.3 states/eV/f.u.
Energy = -2.26 eV/atom

Lattice parameters (Å, degrees): 5.082 5.082 5.455 90.00 90.00 90.00
Atoms (fractional coordinates):
Mg 0.000 0.000 0.000
Zn 0.500 0.500 0.500
Se 0.000 0.000 0.500
Br 0.000 0.500 0.000
Br 0.500 0.000 0.000

Here is an optimized crystal structure of Mg2SiBr from Alexandria via LeMat-Bulk. Energies are from PBE.

Magnetic moment = 0.0 μB/f.u.
Polymorph energy (0 for the lowest one) = 0.109 eV/atom
D(E_F) = 0.9 states/eV/f.u.
Energy = -2.83 eV/atom

Lattice parameters (Å, degrees): 3.756 3.756 7.158 90.00 90.00 90.00
Atoms (fractional coordinates):
Mg 0.000 0.000 0.000
Mg 0.500 0.500 0.417
Si 0.000 0.000 0.355
Br 0.500 0.500 0.835

Here is an optimized crystal structure of MgSiBr from Alexandria via LeMat-Bulk. Energies are from PBE.

Magnetic moment = 0.0 μB/f.u.
Energy = -3.54 eV/atom

Lattice parameters (Å, degrees): 3.814 3.814 12.595 98.56 98.56 60.04
Atoms (fractional coordinates):
Mg 0.000 0.000 0.000
Mg 0.134 0.134 0.440
Si 0.076 0.076 0.231
Si 0.717 0.717 0.155
Br 0.292 0.292 0.875
Br 0.841 0.841 0.559

Here is an optimized crystal structure of MgSiBr from Alexandria via LeMat-Bulk. Energies are from PBE.

Magnetic moment = 0.0 μB/f.u.
D(E_F) = 1.1 states/eV/f.u.
Energy = -2.91 eV/atom

Lattice parameters (Å, degrees): 8.209 8.207 3.232 78.67 78.62 22.71
Atoms (fractional coordinates):
Mg 0.000 0.000 0.000
Si 0.379 0.379 0.621
Br 0.601 0.601 0.399